A relaxed structure of ZnMoSeBr2. Source: Alexandria, functional GGA-PBE.

For the formation energy (no corrections), the calculation gives 0.552 eV/atom. The calculation puts the density of states at the Fermi level at 3.12 states/eV/f.u. The polymorph energy (0 for the lowest one) comes out at 2.25 eV per formula unit.

CIF file:
```
data_ZnMoSeBr2
_space_group_name_H-M_alt 'P 4/m m m'
_space_group_IT_number 123
_space_group_name_Hall '-P 4 2'
_cell_length_a 4.9977
_cell_length_b 4.9977
_cell_length_c 5.2026
_cell_angle_alpha 90.00
_cell_angle_beta 90.00
_cell_angle_gamma 90.00
loop_
_atom_site_label
_atom_site_fract_x
_atom_site_fract_y
_atom_site_fract_z
Zn1 0.0000 0.0000 0.0000
Mo1 0.5000 0.5000 0.5000
Se1 0.0000 0.0000 0.5000
Br1 0.0000 0.5000 0.0000
```